Record 1
{
  "formula": "Cs3NaI4",
  "functional": "PBE-GGA",
  "state": "relaxed",
  "lattice_angstrom": [[-1.8502, -1.1182, 7.3986], [7.2965, -7.8171, 0.6431], [8.8509, 8.5498, 3.5055]],
  "species": ["Cs", "Cs", "Cs", "Cs", "Cs", "Cs", "Na", "Na", "I", "I", "I", "I", "I", "I", "I", "I"],
  "fractional_positions": [[0.5652, 0.8492, 0.0000], [0.0649, 0.6698, 0.2366], [0.5649, 0.3302, 0.2634], [0.0652, 0.1508, 0.5000], [0.5649, 0.3302, 0.7366], [0.0649, 0.6698, 0.7634], [0.0153, 0.1774, 0.0000], [0.5153, 0.8226, 0.5000], [0.0669, 0.8855, 0.0000], [0.6044, 0.1947, 0.0000], [0.0668, 0.3099, 0.2211], [0.5668, 0.6901, 0.2789], [0.1044, 0.8053, 0.5000], [0.5669, 0.1145, 0.5000], [0.5668, 0.6901, 0.7211], [0.0668, 0.3099, 0.7789]],
  "total_energy_ev_per_atom": -2.681,
  "dos_ef_per_ev_atom": 0.000,
  "crystal_system": "orthorhombic",
  "space_group": "Pmn2_1"
}

Record 2
{
  "formula": "CsNa2I3",
  "functional": "PBE-GGA",
  "state": "relaxed",
  "lattice_angstrom": [[5.1486, 0.0000, 0.0000], [-2.5743, 8.4824, 0.0000], [0.0000, 0.0000, 12.0889]],
  "species": ["Cs", "Cs", "Na", "Na", "Na", "Na", "I", "I", "I", "I", "I", "I"],
  "fractional_positions": [[0.2438, 0.4875, 0.2500], [0.7562, 0.5125, 0.7500], [0.0000, 0.0000, 0.0000], [0.0000, 0.0000, 0.5000], [0.5156, 0.0311, 0.2500], [0.4844, 0.9689, 0.7500], [0.6245, 0.2490, 0.0527], [0.0777, 0.1554, 0.7500], [0.6245, 0.2490, 0.4473], [0.9223, 0.8446, 0.2500], [0.3755, 0.7510, 0.9473], [0.3755, 0.7510, 0.5527]],
  "total_energy_ev_per_atom": -2.678,
  "dos_ef_per_ev_atom": 0.000,
  "crystal_system": "orthorhombic",
  "space_group": "Cmcm"
}